# 1
Pm2MgCd6 | PBE-GGA | relaxed

Cell and atoms, written as POSCAR:
```
Pm2MgCd6
1.0
6.507 -0.037 -0.021
0.021 6.292 0.001
0.021 3.136 5.455
Cd Pm Mg
6 2 1
Cartesian
2.168 7.758 4.490
2.166 4.791 4.489
4.380 1.633 0.945
2.166 6.279 1.917
4.383 4.600 0.946
4.383 3.112 3.517
5.637 6.252 3.618
0.911 3.139 1.817
0.000 0.000 0.000
```

Properties
calculated formation energy	-2.18	eV per formula unit
space-group type	C2/m (12)
spin magnetization	0.00	μB/cell



# 2
Pm3Mg4Cd | PBE-GGA | relaxed

Cell and atoms, written as POSCAR:
```
Pm3Mg4Cd
1.0
-1.812 0.111 4.730
7.839 -0.262 3.010
0.374 10.129 -0.094
Mg Pm Cd
8 6 2
Cartesian
1.372 5.050 3.121
0.373 2.573 5.510
6.028 7.405 2.137
2.372 7.527 0.733
1.185 -0.015 3.168
4.029 2.451 6.913
4.841 -0.137 4.572
5.028 4.928 4.525
3.107 2.457 3.846
-0.813 2.588 2.342
-0.626 7.652 2.295
3.294 7.521 3.801
0.187 5.064 -0.047
0.000 0.000 0.000
4.107 4.934 1.458
3.920 -0.131 1.505
```

Properties
calculated formation energy	-0.77	eV per formula unit
space-group type	P4/mmm (123)
spin magnetization	0.00	μB/cell



# 3
Pm12Mg2Cd5 | PBE-GGA | relaxed

Cell and atoms, written as POSCAR:
```
Pm12Mg2Cd5
1.0
10.391 0.000 0.000
-5.196 6.505 1.618
0.000 -0.554 8.409
Cd Pm Mg
5 12 2
Cartesian
0.000 2.566 4.721
5.196 1.686 8.326
5.196 3.385 5.307
0.000 -0.277 4.205
0.000 4.266 1.701
3.252 4.084 7.952
0.000 4.904 7.148
1.943 1.867 2.075
-3.252 4.084 7.952
8.448 1.867 2.075
2.968 1.186 5.629
0.000 0.977 7.481
-2.228 4.765 4.398
5.196 4.974 2.546
5.196 1.047 2.880
2.228 4.765 4.398
7.424 1.186 5.629
6.999 0.000 0.000
3.392 0.000 0.000
```

Properties
calculated formation energy	-1.61	eV per formula unit
space-group type	C2/m (12)
spin magnetization	0.00	μB/cell



- What is the calculated formation energy in the first record?
  -2.18 eV per formula unit